# 1
First-principles (PBE) data for a relaxed Zr3Al crystal, as listed in Alexandria via LeMat-Bulk.

Unit cell a=6.2787 b=8.8237 c=3.0926 alpha=90.00 beta=90.00 gamma=90.00
Closest atoms and distances in Å follow each position.
Space group Cmmm (No. 65)
One atom of each set of equivalent atoms:
Zr1 0.0000 0.0000 0.0000 [2 per cell]  10 Zr 3.09-3.12, 2 Al 3.14
Zr2 0.2500 0.2500 0.5000 [4 per cell]  8 Zr 3.09-3.14, 4 Al 3.12
Al1 0.0000 0.5000 0.0000 [2 per cell]  2 Al 3.09, 10 Zr 3.12-3.14

Summary:
formation energy from the elements: -0.153 eV per atom

# 2
First-principles (PBE) data for a relaxed NaBCl crystal, as listed in Alexandria via LeMat-Bulk.

Unit cell a=7.6083 b=8.6765 c=7.6066 alpha=90.00 beta=90.00 gamma=90.00
Closest atoms and distances in Å follow each position.
Space group Cmce (No. 64)
One atom of each set of equivalent atoms:
Na1 0.2500 0.0016 0.2500 [8 per cell]  4 B 2.79
B1 0.0000 0.0834 0.5007 [8 per cell]  1 B 1.45
Cl1 0.0000 0.2105 0.0005 [8 per cell]  1 B 1.79

Summary:
formation energy without anion corrections: -270 meV/atom

# 3
First-principles (PBE) data for a relaxed Rb2TlCdRu crystal, as listed in Alexandria via LeMat-Bulk.

Unit cell a=5.9801 b=5.9801 c=5.3384 alpha=90.00 beta=90.00 gamma=90.00
Closest atoms and distances in Å follow each position.
Space group P4/mmm (No. 123)
One atom of each set of equivalent atoms:
Rb1 0.0000 0.5000 0.0000 [2 per cell]  2 Ru 2.99
Tl1 0.0000 0.0000 0.5000 [1 per cell]  8 Rb 4.01, 4 Cd 4.23
Cd1 0.5000 0.5000 0.5000 [1 per cell]  2 Ru 2.67
Ru1 0.5000 0.5000 0.0000 [1 per cell]  2 Cd 2.67

Summary:
energy above the most stable polymorph in this dataset: 0.00 eV per formula unit
formation energy from the elements: 0.807 eV per atom

# 4
First-principles (PBE) data for a relaxed CePd4Au8 crystal, as listed in Alexandria via LeMat-Bulk.

Unit cell a=9.3054 b=9.3054 c=5.6444 alpha=90.00 beta=90.00 gamma=90.00
Closest atoms and distances in Å follow each position.
Space group I4/mmm (No. 139)
One atom of each set of equivalent atoms:
Ce1 0.0000 0.0000 0.0000 [2 per cell]  12 Au 3.15-3.47
Pd1 0.2500 0.2500 0.2500 [8 per cell]  8 Au 2.74-2.84, 2 Pd 2.82
Au1 0.0000 0.2173 0.5000 [8 per cell]  4 Pd 2.74, 6 Au 2.86-3.04
Au2 0.0000 0.3384 0.0000 [8 per cell]  4 Pd 2.84, 5 Au 3.01-3.04, 1 Ce 3.15

Summary:
formation energy from the elements: -0.265 eV per atom

# 5
First-principles (PBE) data for a relaxed NdErInIr crystal, as listed in Alexandria via LeMat-Bulk.

Unit cell a=7.2712 b=7.2712 c=7.2712 alpha=90.00 beta=90.00 gamma=90.00
Closest atoms and distances in Å follow each position.
Space group F-43m (No. 216)
One atom of each set of equivalent atoms:
Nd1 0.0000 0.0000 0.0000 [4 per cell]  4 In 3.15, 4 Ir 3.15
Er1 0.0000 0.0000 0.5000 [4 per cell]  4 In 3.15, 4 Ir 3.15
In1 0.2500 0.2500 0.7500 [4 per cell]  4 Er 3.15, 4 Nd 3.15
Ir1 0.2500 0.2500 0.2500 [4 per cell]  4 Er 3.15, 4 Nd 3.15

Summary:
formation energy from the elements: -0.478 eV per atom

# 6
First-principles (PBE) data for a relaxed NdHoEr crystal, as listed in Alexandria via LeMat-Bulk.

Unit cell a=5.6640 b=5.6640 c=3.4718 alpha=90.00 beta=90.00 gamma=120.00
Closest atoms and distances in Å follow each position.
Space group P-6m2 (No. 187)
One atom of each set of equivalent atoms:
Nd1 0.0000 0.0000 0.0000 [1 per cell]  2 Nd 3.47, 6 Ho 3.70, 6 Er 3.70
Ho1 0.6667 0.3333 0.5000 [1 per cell]  3 Er 3.27, 2 Ho 3.47
Er1 0.3333 0.6667 0.5000 [1 per cell]  3 Ho 3.27, 2 Er 3.47

Summary:
energy above the most stable polymorph in this dataset: 0.16 eV per formula unit
formation energy from the elements: 0.073 eV per atom

# 7
First-principles (PBE) data for a relaxed BaAsRuSe2 crystal, as listed in Alexandria via LeMat-Bulk.

Unit cell a=5.2828 b=5.2828 c=4.6212 alpha=90.00 beta=90.00 gamma=90.00
Closest atoms and distances in Å follow each position.
Space group P4/mmm (No. 123)
One atom of each set of equivalent atoms:
Ba1 0.0000 0.0000 0.0000 [1 per cell]  8 Se 3.51, 4 As 3.74
As1 0.5000 0.5000 0.0000 [1 per cell]  2 Ru 2.31
Ru1 0.5000 0.5000 0.5000 [1 per cell]  2 As 2.31
Se1 0.0000 0.5000 0.5000 [2 per cell]  2 Ru 2.64

Summary:
energy above the most stable polymorph in this dataset: 0.00 eV per formula unit
formation energy without anion corrections: -547 meV/atom

# 8
First-principles (PBE) data for a relaxed CsMgTeCl6 crystal, as listed in Alexandria via LeMat-Bulk.

Unit cell a=6.7971 b=6.8341 c=7.7913 alpha=91.62 beta=91.91 gamma=115.01
Closest atoms and distances in Å follow each position.
Space group P1 (No. 1)
One atom of each set of equivalent atoms:
Cs1 0.0000 0.0000 0.0000 [1 per cell]  6 Cl 3.46-3.62
Mg1 0.3270 0.6756 0.5014 [1 per cell]  6 Cl 2.40-2.66
Te1 0.6733 0.3268 0.5003 [1 per cell]  4 Cl 2.57-2.59
Cl1 0.0229 0.3750 0.6755 [1 per cell]  1 Te 2.59, 1 Mg 2.66
Cl2 0.0518 0.6469 0.2877 [1 per cell]  1 Mg 2.40
Cl3 0.3591 0.9473 0.7172 [1 per cell]  1 Mg 2.40
Cl4 0.3700 0.3673 0.3192 [1 per cell]  1 Te 2.57, 1 Mg 2.63
Cl5 0.6259 0.9794 0.3261 [1 per cell]  1 Te 2.59, 1 Mg 2.66
Cl6 0.6365 0.6298 0.6809 [1 per cell]  1 Te 2.57, 1 Mg 2.62

Summary:
formation energy without anion corrections: -1248 meV/atom

# 9
First-principles (PBE) data for a relaxed Pu2Ga6Ni3 crystal, as listed in Alexandria via LeMat-Bulk.

Unit cell a=7.4297 b=7.4297 c=4.0707 alpha=90.00 beta=90.00 gamma=120.00
Closest atoms and distances in Å follow each position.
Space group P-62m (No. 189)
One atom of each set of equivalent atoms:
Pu1 0.3333 0.6667 0.0000 [2 per cell]  9 Ga 3.08-3.28, 6 Ni 3.11
Ga1 0.0000 0.3081 0.5000 [3 per cell]  3 Ni 2.40-2.54
Ga2 0.0000 0.7982 0.0000 [3 per cell]  2 Ni 2.38, 2 Ga 2.60
Ni1 0.0000 0.6316 0.5000 [3 per cell]  5 Ga 2.38-2.54

Summary:
formation energy from the elements: -0.334 eV per atom

# 10
First-principles (PBE) data for a relaxed SrMg2Cd crystal, as listed in Alexandria via LeMat-Bulk.

Unit cell a=3.6060 b=3.9067 c=8.1419 alpha=90.00 beta=90.00 gamma=90.00
Closest atoms and distances in Å follow each position.
Space group Pmmm (No. 47)
One atom of each set of equivalent atoms:
Sr1 0.0000 0.0000 0.0000 [1 per cell]  4 Sr 3.61-3.91, 8 Mg 3.62
Mg1 0.5000 0.5000 0.3022 [2 per cell]  4 Cd 3.11, 1 Mg 3.22
Cd1 0.0000 0.0000 0.5000 [1 per cell]  8 Mg 3.11

Summary:
formation energy from the elements: -0.056 eV per atom

# 11
First-principles (PBE) data for a relaxed Fe2IrW crystal, as listed in Alexandria via LeMat-Bulk.

Unit cell a=4.5291 b=2.7069 c=4.6668 alpha=90.00 beta=109.65 gamma=90.00
Closest atoms and distances in Å follow each position.
Space group P2/m (No. 10)
One atom of each set of equivalent atoms:
Fe1 0.0000 0.0000 0.0000 [1 per cell]  4 W 2.64, 2 Ir 2.65, 6 Fe 2.70-2.71
Fe2 0.0000 0.5000 0.5000 [1 per cell]  4 Ir 2.64, 2 W 2.65, 6 Fe 2.70-2.71
Ir1 0.5000 0.0000 0.5000 [1 per cell]  6 Fe 2.64-2.65, 4 W 2.70, 2 Ir 2.71
W1 0.5000 0.5000 0.0000 [1 per cell]  6 Fe 2.64-2.65, 4 Ir 2.70, 2 W 2.71

Summary:
formation energy from the elements: 0.045 eV per atom

# 12
First-principles (PBE) data for a relaxed HgRh2 crystal, as listed in Alexandria via LeMat-Bulk.

Unit cell a=7.8015 b=7.8015 c=2.8415 alpha=90.00 beta=90.00 gamma=120.00
Closest atoms and distances in Å follow each position.
Space group P-62m (No. 189)
One atom of each set of equivalent atoms:
Hg1 0.0000 0.0000 0.0000 [1 per cell]  9 Rh 2.79, 2 Hg 2.84
Hg2 0.3333 0.6667 0.5000 [2 per cell]  9 Rh 2.70-2.88, 2 Hg 2.84
Rh1 0.0000 0.3084 0.5000 [3 per cell]  4 Hg 2.70-2.79, 8 Rh 2.84-2.98
Rh2 0.0000 0.6421 0.0000 [3 per cell]  5 Hg 2.79-2.88, 8 Rh 2.84-2.98

Summary:
formation energy from the elements: 0.354 eV per atom

# 13
First-principles (PBE) data for a relaxed Sm7Sb2Au2 crystal, as listed in Alexandria via LeMat-Bulk.

Unit cell a=9.0548 b=11.1782 c=7.0342 alpha=90.00 beta=90.00 gamma=90.00
Closest atoms and distances in Å follow each position.
Space group Cmmm (No. 65)
One atom of each set of equivalent atoms:
Sm1 0.0000 0.0000 0.0000 [2 per cell]  2 Au 3.10
Sm2 0.0000 0.5000 0.2442 [4 per cell]  2 Au 3.03, 2 Sb 3.28
Sm3 0.2500 0.2500 0.2600 [8 per cell]  2 Au 2.93
Sb1 0.1966 0.0000 0.5000 [4 per cell]  6 Sm 3.28-3.30, 1 Sb 3.56
Au1 0.0000 0.2770 0.0000 [4 per cell]  7 Sm 2.93-3.10

Summary:
formation energy without anion corrections: -456 meV/atom

# 14
First-principles (PBE) data for a relaxed TmPRu crystal, as listed in Alexandria via LeMat-Bulk.

Unit cell a=4.0027 b=4.0027 c=3.9682 alpha=90.00 beta=90.00 gamma=120.00
Closest atoms and distances in Å follow each position.
Space group P-6m2 (No. 187)
One atom of each set of equivalent atoms:
Tm1 0.0000 0.0000 0.0000 [1 per cell]  6 P 3.05, 6 Ru 3.05
P1 0.3333 0.6667 0.5000 [1 per cell]  3 Ru 2.31
Ru1 0.6667 0.3333 0.5000 [1 per cell]  3 P 2.31

Summary:
formation energy from the elements: -0.902 eV per atom

# 15
First-principles (PBE) data for a relaxed GaC crystal, as listed in Alexandria via LeMat-Bulk.

Unit cell a=5.4956 b=5.7594 c=6.4326 alpha=90.00 beta=90.00 gamma=90.00
Closest atoms and distances in Å follow each position.
Space group Pbca (No. 61)
One atom of each set of equivalent atoms:
Ga1 0.1022 0.1172 0.1499 [8 per cell]  3 C 2.03-2.11
C1 0.0694 0.0379 0.5912 [8 per cell]  1 C 1.47

Summary:
energy above the most stable polymorph in this dataset: 0.90 eV per formula unit
formation energy from the elements: 0.692 eV per atom

Taking the records one at a time from the top gives calculated density values of 5.83, 1.83, 5.12, 14.55, 10.69, 8.20, 6.07, 2.52, 9.24, 3.60, 15.03, 13.52, 7.88, 9.08, 5.33 g/cm³.
Taking the records one at a time from the top gives DFT total energy values of -60.00, -85.22, -10.46, -112.74, -91.36, -13.69, -25.55, -27.90, -67.84, -6.01, -38.56, -41.82, -105.71, -21.86, -86.94 eV/cell.